# 1
A plane-wave DFT calculation with SCAN was carried out for YTlAg2 at its PBEsol-relaxed geometry.

a = 4.8970 Å, b = 4.8970 Å, c = 4.8970 Å
α = 60.00°, β = 60.00°, γ = 60.00°
Fractional positions:
Ag 0.2500 0.2500 0.2500
Ag 0.0000 0.0000 0.0000
Y 0.7500 0.7500 0.7500
Tl 0.5000 0.5000 0.5000

Values from the calculation:
Magnetic moment (μB per atom): 0.000
Offset from the most stable computed form (eV/f.u.): 0.08

# 2
A plane-wave DFT calculation with SCAN was carried out for YTl2Ag at its PBEsol-relaxed geometry.

a = 3.7903 Å, b = 5.3832 Å, c = 5.7454 Å
α = 117.94°, β = 109.26°, γ = 90.00°
Fractional positions:
Ag 0.0000 0.5000 0.0000
Y 0.5000 0.0000 0.0000
Tl 0.7309 0.7309 0.4618
Tl 0.2691 0.2691 0.5382

Values from the calculation:
Calculated total energy (eV/atom): -51.151
Magnetic moment (μB per atom): 0.000